[1]
Material: Pu2ScAl
Method: DFT, PBE
State: optimized geometry

As for the space group: P4/mmm (123). The value obtained for the energy of formation from the pure elements is 22 meV/atom.

Unit cell a=3.9115 b=3.9115 c=6.1926 alpha=90.00 beta=90.00 gamma=90.00
Fractional positions:
Sc 0.5000 0.5000 0.5000
Pu 0.0000 0.0000 0.2334
Pu 0.0000 0.0000 0.7666
Al 0.5000 0.5000 0.0000



[2]
Material: PuSc5Al3
Method: DFT, PBE
State: optimized geometry

As for the space group: P6_3/mcm (193). The value obtained for the energy of formation from the pure elements is -315 meV/atom.

Unit cell a=6.1226 b=8.5498 c=8.5498 alpha=120.00 beta=90.00 gamma=90.00
Fractional positions:
Al 0.2500 0.6549 0.6549
Al 0.7500 0.6548 0.0000
Al 0.2500 0.0000 0.3451
Al 0.7500 0.3451 0.3451
Al 0.7500 0.0000 0.6549
Al 0.2500 0.3452 0.0000
Sc 0.2500 0.6738 0.0000
Sc 0.2500 0.3262 0.3262
Sc 0.7500 0.0000 0.3262
Sc 0.2500 0.0000 0.6738
Sc 0.0000 0.6667 0.3333
Sc 0.0000 0.3333 0.6667
Sc 0.5000 0.6667 0.3333
Sc 0.7500 0.3262 0.0000
Sc 0.5000 0.3333 0.6667
Sc 0.7500 0.6738 0.6738
Pu 0.0000 0.0000 0.0000
Pu 0.5000 0.0000 0.0000



[3]
Material: PuScAl4
Method: DFT, PBE
State: optimized geometry

As for the space group: F-43m (216). The value obtained for the energy of formation from the pure elements is -354 meV/atom.

Unit cell a=5.4616 b=5.4616 c=5.4616 alpha=60.00 beta=60.00 gamma=60.00
Fractional positions:
Al 0.6248 0.6248 0.1256
Al 0.6248 0.1256 0.6248
Al 0.1256 0.6248 0.6248
Al 0.6248 0.6248 0.6248
Pu 0.2500 0.2500 0.2500
Sc 0.0000 0.0000 0.0000



[4]
Material: PuScAl2
Method: DFT, PBE
State: optimized geometry

As for the space group: P4/mmm (123). The value obtained for the energy of formation from the pure elements is -213 meV/atom.

Unit cell a=4.3355 b=4.4168 c=4.4168 alpha=90.00 beta=90.00 gamma=90.00
Fractional positions:
Pu 0.5000 0.0000 0.0000
Al 0.0000 0.0000 0.5000
Al 0.0000 0.5000 0.0000
Sc 0.5000 0.5000 0.5000



[5]
Material: PuScAlTc
Method: DFT, PBE
State: optimized geometry

As for the space group: F-43m (216). The value obtained for the energy of formation from the pure elements is -108 meV/atom.

Unit cell a=4.7880 b=4.7880 c=4.7880 alpha=60.00 beta=60.00 gamma=60.00
Fractional positions:
Sc 0.0000 0.0000 0.0000
Al 0.2500 0.2500 0.2500
Pu 0.5000 0.5000 0.5000
Tc 0.7500 0.7500 0.7500



[6]
Material: PuScAlZn
Method: DFT, PBE
State: optimized geometry

As for the space group: F-43m (216). The value obtained for the energy of formation from the pure elements is -207 meV/atom.

Unit cell a=4.9290 b=4.9290 c=4.9290 alpha=60.00 beta=60.00 gamma=60.00
Fractional positions:
Al 0.2500 0.2500 0.2500
Zn 0.7500 0.7500 0.7500
Pu 0.0000 0.0000 0.0000
Sc 0.5000 0.5000 0.5000



[7]
Material: Pu3AlSe6
Method: DFT, PBE
State: optimized geometry

As for the space group: Cmc2_1 (36). The value obtained for the uncorrected formation energy is -1.268 eV per atom.

Unit cell a=6.8296 b=9.0610 c=9.0610 alpha=102.74 beta=90.00 gamma=90.00
Fractional positions:
Pu 0.4734 0.2814 0.0815
Pu 0.9734 0.7186 0.9185
Pu 0.4048 0.3954 0.6046
Pu 0.9734 0.0815 0.2814
Pu 0.4734 0.9185 0.7186
Pu 0.9048 0.6046 0.3954
Se 0.1767 0.7843 0.2157
Se 0.6637 0.9612 0.0388
Se 0.1935 0.0971 0.5677
Se 0.6767 0.2157 0.7843
Se 0.1894 0.6849 0.6372
Se 0.1637 0.0388 0.9612
Se 0.1935 0.4323 0.9029
Se 0.6935 0.9029 0.4323
Se 0.6894 0.6372 0.6849
Se 0.6935 0.5677 0.0971
Se 0.1894 0.3628 0.3151
Se 0.6894 0.3151 0.3628
Al 0.0277 0.1979 0.8021
Al 0.5277 0.8021 0.1979



[8]
Material: Pu2AlSe4
Method: DFT, PBE
State: optimized geometry

As for the space group: P2_1/m (11). The value obtained for the uncorrected formation energy is -1.160 eV per atom.

Unit cell a=6.8243 b=6.8489 c=8.0882 alpha=90.00 beta=107.26 gamma=90.00
Fractional positions:
Al 0.7451 0.2500 0.8105
Al 0.2549 0.7500 0.1895
Se 0.0644 0.7500 0.8919
Se 0.9356 0.2500 0.1081
Se 0.4962 0.5077 0.7466
Se 0.5038 0.0077 0.2534
Se 0.9353 0.2500 0.6086
Se 0.0647 0.7500 0.3914
Se 0.5038 0.4923 0.2534
Se 0.4962 0.9923 0.7466
Pu 0.7354 0.7500 0.5571
Pu 0.2646 0.2500 0.4429
Pu 0.2762 0.2500 0.9438
Pu 0.7238 0.7500 0.0562



[9]
Material: Pu2AlSe6
Method: DFT, PBE
State: optimized geometry

As for the space group: P4_2/mnm (136). The value obtained for the uncorrected formation energy is -0.865 eV per atom.

Unit cell a=6.3690 b=6.3690 c=12.3662 alpha=90.00 beta=90.00 gamma=90.00
Fractional positions:
Se 0.7072 0.7072 0.0000
Se 0.3088 0.3088 0.3475
Se 0.2072 0.7928 0.5000
Se 0.8088 0.1912 0.8475
Se 0.1912 0.8088 0.1525
Se 0.6912 0.6912 0.6525
Se 0.2928 0.2928 0.0000
Se 0.8088 0.1912 0.1525
Se 0.1912 0.8088 0.8475
Se 0.6912 0.6912 0.3475
Se 0.3088 0.3088 0.6525
Se 0.7928 0.2072 0.5000
Al 0.0000 0.0000 0.0000
Al 0.5000 0.5000 0.5000
Pu 0.0000 0.0000 0.6683
Pu 0.5000 0.5000 0.1683
Pu 0.5000 0.5000 0.8317
Pu 0.0000 0.0000 0.3317



[10]
Material: PuAlSe3
Method: DFT, PBE
State: optimized geometry

As for the space group: Cmcm (63). The value obtained for the uncorrected formation energy is -1.083 eV per atom.

Unit cell a=4.0634 b=7.5639 c=8.7349 alpha=90.00 beta=103.45 gamma=90.00
Fractional positions:
Se 0.8375 0.0193 0.6751
Se 0.1625 0.9807 0.3249
Se 0.8375 0.4807 0.6751
Se 0.4848 0.7500 0.9696
Se 0.1625 0.5193 0.3249
Se 0.5152 0.2500 0.0304
Al 0.9363 0.2500 0.8727
Al 0.0637 0.7500 0.1273
Pu 0.6919 0.2500 0.3839
Pu 0.3081 0.7500 0.6161



[11]
Material: PuAl2Se6
Method: DFT, PBE
State: optimized geometry

As for the space group: C2/c (15). The value obtained for the uncorrected formation energy is -0.697 eV per atom.

Unit cell a=7.1494 b=9.0921 c=9.0921 alpha=74.59 beta=82.59 gamma=82.59
Fractional positions:
Se 0.3310 0.7677 0.5944
Se 0.6960 0.5852 0.0680
Se 0.3040 0.4148 0.9320
Se 0.1960 0.0680 0.5852
Se 0.8040 0.9320 0.4148
Se 0.8703 0.1907 0.9988
Se 0.6690 0.2323 0.4056
Se 0.8310 0.5944 0.7677
Se 0.1690 0.4056 0.2323
Se 0.1297 0.8093 0.0012
Se 0.3703 0.9988 0.1907
Se 0.6297 0.0012 0.8093
Al 0.1332 0.6583 0.8245
Al 0.8668 0.3417 0.1755
Al 0.6332 0.8245 0.6583
Al 0.3668 0.1755 0.3417
Pu 0.2500 0.1122 0.8878
Pu 0.7500 0.8878 0.1122



[12]
Material: Pu2Al2Se5
Method: DFT, PBE
State: optimized geometry

As for the space group: C2/m (12). The value obtained for the uncorrected formation energy is -0.973 eV per atom.

Unit cell a=4.5315 b=7.7675 c=8.3534 alpha=124.49 beta=90.00 gamma=106.96
Fractional positions:
Se 0.8667 0.7335 0.4705
Se 0.1333 0.2665 0.5295
Se 0.3690 0.7380 0.0963
Se 0.0000 0.0000 0.0000
Se 0.6310 0.2620 0.9037
Pu 0.6198 0.2397 0.2652
Pu 0.3802 0.7603 0.7348
Al 0.0722 0.1444 0.7564
Al 0.9278 0.8556 0.2436



Number 1: Fermi-level density of states 12.451 states/eV per cell. Number 2: Fermi-level density of states 18.717 states/eV per cell. Number 3: Fermi-level density of states 15.133 states/eV per cell. Number 4: Fermi-level density of states 9.185 states/eV per cell. Number 5: Fermi-level density of states 8.636 states/eV per cell. Number 6: Fermi-level density of states 6.703 states/eV per cell. Number 7: Fermi-level density of states 66.839 states/eV per cell. Number 8: Fermi-level density of states 54.965 states/eV per cell. Number 9: Fermi-level density of states 36.261 states/eV per cell. Number 10: Fermi-level density of states 18.222 states/eV per cell. Number 11: Fermi-level density of states 30.058 states/eV per cell. Number 12: Fermi-level density of states 22.208 states/eV per cell.